Entry from the Alexandria database: an optimized crystal structure of Ac6BiPb5 (GGA-PBE).

Values from the calculation:
- symmetry = C2/m, No. 12
- calculated density (kg/m³) = 8830
- total magnetization (μB per formula unit) = 0.00
- VASP energy (eV per cell) = -53.0

```
12
Lattice="4.2100 -7.2731 0.0000 4.2100 7.2731 0.0000 -2.7932 0.0000 8.0056" Properties=species:S:1:pos:R:3 pbc="T T T"
Ac 1.3942 2.4037 1.9902
Ac -0.0147 0.0000 6.0391
Ac 1.3942 -2.4037 1.9902
Ac 4.2326 2.4037 6.0154
Ac 5.6415 0.0000 1.9665
Ac 4.2326 -2.4037 6.0154
Bi 0.0000 0.0000 0.0000
Pb 2.8134 4.8632 4.0028
Pb 4.2100 2.4250 0.0000
Pb 2.8134 0.0000 4.0028
Pb 4.2100 -2.4250 0.0000
Pb 2.8134 -4.8632 4.0028
```